Density functional theory data (PBE-GGA) for crystalline Nd4CI2Cl at its relaxed geometry.

a b c (Å): 3.975 7.285 8.025
angles (deg): 106.10 90.00 90.00
Sites, in units of the cell vectors:
Nd  0.000  0.694  0.178
I  0.500  0.000  0.500
C  0.500  0.500  0.000
Nd  0.000  0.306  0.822
Cl  0.000  0.000  0.000
Nd  0.500  0.725  0.817
I  0.000  0.500  0.500
Nd  0.500  0.275  0.183

Output
formation energy without anion corrections: -88 kJ per mole of atoms
total magnetization: 0.00 μB per cell
D(E_F): 0.51 states/eV per atom

=====

Density functional theory data (PBE-GGA) for crystalline P2CICl at its relaxed geometry.

a b c (Å): 4.380 4.380 4.440
angles (deg): 90.00 90.00 90.00
Sites, in units of the cell vectors:
P  0.500  0.000  0.000
I  0.500  0.500  0.500
Cl  0.000  0.000  0.500
P  0.000  0.500  0.000
C  0.000  0.000  0.000

Output
formation energy without anion corrections: 128 kJ per mole of atoms
energy above the lowest structure with this stoichiometry: 0 meV per atom
total magnetization: 0.00 μB per cell
D(E_F): 0.44 states/eV per atom

=====

Density functional theory data (PBE-GGA) for crystalline P2CICl at its relaxed geometry.

a b c (Å): 5.370 5.370 5.302
angles (deg): 90.00 90.00 90.00
Last column: magnetic moment on the atom in μB.
Sites, in units of the cell vectors:
Cl  0.000  0.000  0.500  -0.03
P  0.000  0.500  0.000  -0.57
P  0.500  0.000  0.000  -0.57
C  0.500  0.500  0.500  0.90
I  0.000  0.000  0.000  0.03

Output
formation energy without anion corrections: 240 kJ per mole of atoms
energy above the lowest structure with this stoichiometry: 1156 meV per atom
total magnetization: 0.69 μB per cell
D(E_F): 1.10 states/eV per atom

=====

Density functional theory data (PBE-GGA) for crystalline Pm8C3I3Cl at its relaxed geometry.

a b c (Å): 7.845 7.855 8.706
angles (deg): 116.85 89.99 119.97
Sites, in units of the cell vectors:
Pm  0.245  0.942  0.687
I  0.500  0.500  0.000
C  0.500  0.000  0.500
I  0.000  0.500  0.000
C  0.500  0.500  0.500
Pm  0.755  0.058  0.313
Pm  0.697  0.942  0.687
Pm  0.275  0.549  0.324
Pm  0.725  0.451  0.676
Pm  0.245  0.491  0.687
Pm  0.755  0.509  0.313
I  0.000  0.000  0.000
Pm  0.303  0.058  0.313
C  0.000  0.500  0.500
Cl  0.000  0.000  0.500

Output
formation energy without anion corrections: -70 kJ per mole of atoms
total magnetization: 0.00 μB per cell
D(E_F): 0.43 states/eV per atom

=====

Density functional theory data (PBE-GGA) for crystalline Pm6C3ICl2 at its relaxed geometry.

a b c (Å): 3.805 8.524 9.365
angles (deg): 112.13 101.72 90.00
Sites, in units of the cell vectors:
Pm  0.347  0.383  0.694
C  0.167  0.830  0.334
Pm  0.653  0.617  0.306
Cl  0.830  0.663  0.659
Pm  0.683  0.049  0.366
C  0.500  0.500  0.000
Pm  0.015  0.709  0.030
I  0.500  0.000  0.000
Pm  0.985  0.291  0.970
C  0.833  0.170  0.666
Cl  0.170  0.337  0.341
Pm  0.317  0.951  0.634

Output
formation energy without anion corrections: -88 kJ per mole of atoms
total magnetization: 0.00 μB per cell
D(E_F): 0.43 states/eV per atom

=====

Density functional theory data (PBE-GGA) for crystalline Pm6C2I3Cl at its relaxed geometry.

a b c (Å): 6.867 6.867 7.990
angles (deg): 98.26 98.26 120.02
Sites, in units of the cell vectors:
C  0.667  0.333  0.000
Pm  0.942  0.583  0.825
Pm  0.058  0.417  0.175
C  0.333  0.667  0.000
Pm  0.700  0.700  0.175
I  0.500  0.500  0.500
Cl  0.000  0.000  0.000
Pm  0.417  0.058  0.175
I  0.164  0.836  0.500
I  0.836  0.164  0.500
Pm  0.583  0.942  0.825
Pm  0.300  0.300  0.825

Output
formation energy without anion corrections: -83 kJ per mole of atoms
total magnetization: 0.00 μB per cell
D(E_F): 0.40 states/eV per atom

=====

Density functional theory data (PBE-GGA) for crystalline Pr4CI2Cl at its relaxed geometry.

a b c (Å): 4.005 7.337 8.089
angles (deg): 106.01 90.00 90.00
Sites, in units of the cell vectors:
Cl  0.000  0.000  0.000
C  0.500  0.500  0.000
Pr  0.500  0.275  0.184
Pr  0.500  0.725  0.816
Pr  0.000  0.305  0.821
I  0.500  0.000  0.500
I  0.000  0.500  0.500
Pr  0.000  0.695  0.179

Output
formation energy without anion corrections: -88 kJ per mole of atoms
total magnetization: 0.00 μB per cell
D(E_F): 0.51 states/eV per atom

=====

Density functional theory data (PBE-GGA) for crystalline Rb2CICl6 at its relaxed geometry.

a b c (Å): 7.760 7.760 7.126
angles (deg): 57.01 57.01 90.00
Sites, in units of the cell vectors:
C  0.500  0.500  0.000
Cl  0.293  0.293  0.414
Rb  0.250  0.750  0.500
Cl  0.707  0.707  0.586
Cl  0.283  0.717  0.000
Cl  0.717  0.717  0.000
Cl  0.283  0.283  0.000
Rb  0.750  0.250  0.500
I  0.000  0.000  0.000
Cl  0.717  0.283  0.000

Output
formation energy without anion corrections: -32 kJ per mole of atoms
total magnetization: 0.00 μB per cell
D(E_F): 0.86 states/eV per atom

=====

Density functional theory data (PBE-GGA) for crystalline SbCI2Cl at its relaxed geometry.

a b c (Å): 5.137 5.137 4.803
angles (deg): 90.00 90.00 90.00
Sites, in units of the cell vectors:
C  0.000  0.000  0.000
Cl  0.500  0.500  0.500
Sb  0.000  0.000  0.500
I  0.500  0.000  0.000
I  0.000  0.500  0.000

Output
formation energy without anion corrections: 96 kJ per mole of atoms
energy above the lowest structure with this stoichiometry: 0 meV per atom
total magnetization: 0.00 μB per cell
D(E_F): 0.48 states/eV per atom

=====

Density functional theory data (PBE-GGA) for crystalline Sb2CICl at its relaxed geometry.

a b c (Å): 4.873 4.873 5.089
angles (deg): 90.00 90.00 90.00
Sites, in units of the cell vectors:
Cl  0.500  0.500  0.500
Sb  0.500  0.000  0.000
C  0.000  0.000  0.000
Sb  0.000  0.500  0.000
I  0.000  0.000  0.500

Output
formation energy without anion corrections: 91 kJ per mole of atoms
energy above the lowest structure with this stoichiometry: 0 meV per atom
total magnetization: 0.00 μB per cell
D(E_F): 0.53 states/eV per atom

=====

Density functional theory data (PBE-GGA) for crystalline Sm6C2I3Cl at its relaxed geometry.

a b c (Å): 6.832 6.832 7.942
angles (deg): 98.27 98.27 120.02
Sites, in units of the cell vectors:
Sm  0.942  0.583  0.825
C  0.667  0.333  0.000
Sm  0.058  0.417  0.175
I  0.836  0.164  0.500
Cl  0.000  0.000  0.000
C  0.333  0.667  0.000
Sm  0.417  0.058  0.175
I  0.164  0.836  0.500
Sm  0.700  0.700  0.174
Sm  0.300  0.300  0.826
I  0.500  0.500  0.500
Sm  0.583  0.942  0.825

Output
formation energy without anion corrections: -82 kJ per mole of atoms
total magnetization: 0.00 μB per cell
D(E_F): 0.40 states/eV per atom

=====

Density functional theory data (PBE-GGA) for crystalline Sm6C3ICl2 at its relaxed geometry.

a b c (Å): 3.786 8.463 9.304
angles (deg): 111.98 101.74 90.00
Sites, in units of the cell vectors:
I  0.500  0.000  0.000
Cl  0.830  0.663  0.659
C  0.500  0.500  0.000
Sm  0.683  0.049  0.367
Sm  0.653  0.617  0.306
Sm  0.317  0.951  0.633
C  0.833  0.170  0.666
Sm  0.985  0.292  0.969
Sm  0.347  0.383  0.694
Sm  0.015  0.708  0.031
Cl  0.170  0.337  0.341
C  0.167  0.830  0.334

Output
formation energy without anion corrections: -89 kJ per mole of atoms
total magnetization: 0.00 μB per cell
D(E_F): 0.43 states/eV per atom